# NbCrO4 | the Alexandria database | GGA+U | optimized geometry
data_NbCrO4
_chemical_formula_sum 'Nb1 Cr1 O4'
_space_group_name_H-M_alt 'P 1'
_space_group_IT_number 1
_space_group_name_Hall 'P 1'
_cell_length_a 5.598
_cell_length_b 5.598
_cell_length_c 5.598
_cell_angle_alpha 138.61
_cell_angle_beta 138.61
_cell_angle_gamma 59.97
loop_
_atom_site_label
_atom_site_fract_x
_atom_site_fract_y
_atom_site_fract_z
O1 0.206 0.206 0.000
O2 0.794 0.794 0.000
O3 0.960 0.460 0.500
O4 0.540 0.040 0.500
Nb1 0.000 0.000 0.000
Cr1 0.750 0.250 0.500
# Calculated total energy: -8.497 eV per atom
# Symmetry: I-4m2 (119)
# Total magnetization: 3.000 μB per formula unit